Entry from Alexandria via LeMat-Bulk: an optimized crystal structure of Ba2InPb4 (PBE).

Computed properties:
**E_form**: -0.3669 eV per atom
**D(E_F)**: 0.51 states/eV/atom

Lattice parameters (Å, degrees): 6.7163 7.0664 11.0276 90.00 104.13 90.00
Closest atoms and distances in Å follow each position.
Positions (direct):
Pb: 0.7575 0.2500 0.8854  1 In 3.13, 2 Pb 3.23
Pb: 0.2425 0.7500 0.1146  1 In 3.13, 2 Pb 3.23
Pb: 0.4003 0.4892 0.6998  1 In 3.16, 3 Pb 3.23-3.38
Pb: 0.5997 0.5108 0.3002  1 In 3.16, 3 Pb 3.23-3.38
Pb: 0.5997 0.9892 0.3002  1 In 3.16, 3 Pb 3.23-3.38
Pb: 0.7191 0.7500 0.5984  1 In 3.18, 2 Pb 3.23
Pb: 0.2809 0.2500 0.4016  1 In 3.18, 2 Pb 3.23
Pb: 0.4003 0.0108 0.6998  1 In 3.16, 3 Pb 3.23-3.38
In: 0.1204 0.7500 0.8222  4 Pb 3.13-3.18
In: 0.8796 0.2500 0.1778  4 Pb 3.13-3.18
Ba: 0.2936 0.2500 0.0069  6 Pb 3.52-3.85, 2 In 3.72-3.93
Ba: 0.8756 0.2500 0.5918  8 Pb 3.52-3.83
Ba: 0.1244 0.7500 0.4082  8 Pb 3.52-3.83
Ba: 0.7064 0.7500 0.9931  6 Pb 3.52-3.85, 2 In 3.72-3.93